# 1
Dy5In: relaxed, GGA-PBE.

DFT total energy ... -26.7 eV/f.u.
Polymorph energy (0 for the lowest one) ... 0.00 eV/f.u.

a b c (Å): 4.8624 15.0495 4.8596
angles (deg): 90.00 90.00 90.00
Last column: nearest neighbours and their distance in Å.
Space group Cmmm (No. 65)
One atom of each set of equivalent atoms:
Dy (0.0000, 0.0000, 0.0000) [2 per cell]  4 In 3.44, 8 Dy 3.44-3.50
Dy (0.0000, 0.1620, 0.5000) [4 per cell]  10 Dy 3.44-3.60, 2 In 3.44
Dy (0.0000, 0.3322, 0.0000) [4 per cell]  10 Dy 3.44-3.53, 2 In 3.50
In (0.0000, 0.5000, 0.5000) [2 per cell]  12 Dy 3.44-3.50


# 2
Dy6InIr2: relaxed, GGA-PBE.

DFT total energy ... -53.6 eV/f.u.

a b c (Å): 9.3974 9.6027 10.4531
angles (deg): 90.00 90.00 90.00
Last column: nearest neighbours and their distance in Å.
Space group Immm (No. 71)
One atom of each set of equivalent atoms:
Dy (0.0000, 0.2043, 0.2387) [8 per cell]  1 Ir 2.78
Dy (0.1911, 0.5000, 0.1694) [8 per cell]  3 Ir 2.75-3.00
Dy (0.2132, 0.3178, 0.5000) [8 per cell]  3 Ir 2.99-3.05, 1 In 3.21
In (0.0000, 0.0000, 0.0000) [2 per cell]  8 Dy 3.17-3.21, 2 Ir 3.18
In (0.0000, 0.0000, 0.5000) [2 per cell]  12 Dy 3.36-3.65
Ir (0.0000, 0.3314, 0.0000) [4 per cell]  8 Dy 2.78-3.05
Ir (0.0000, 0.5000, 0.3691) [4 per cell]  1 Ir 2.74, 6 Dy 2.75-2.99


# 3
DyInIr4: relaxed, GGA-PBE.

DFT total energy ... -45.1 eV/f.u.

a b c (Å): 7.5212 7.5212 7.5212
angles (deg): 90.00 90.00 90.00
Last column: nearest neighbours and their distance in Å.
Space group F-43m (No. 216)
One atom of each set of equivalent atoms:
Dy (0.0000, 0.0000, 0.0000) [4 per cell]  12 Ir 3.12, 4 In 3.26
In (0.2500, 0.2500, 0.7500) [4 per cell]  12 Ir 3.12, 4 Dy 3.26
Ir (0.1246, 0.1246, 0.3754) [16 per cell]  6 Ir 2.65-2.67


# 4
Dy11In9Ir4: relaxed, GGA-PBE.

DFT total energy ... -126.6 eV/f.u.

a b c (Å): 14.5478 21.7658 3.7167
angles (deg): 90.00 90.00 90.00
Last column: nearest neighbours and their distance in Å.
Space group Cmmm (No. 65)
One atom of each set of equivalent atoms:
Dy (0.0000, 0.0000, 0.0000) [2 per cell]  8 In 3.22, 2 Dy 3.53
Dy (0.0000, 0.1624, 0.0000) [4 per cell]  8 In 3.25-3.44, 3 Dy 3.53-3.61
Dy (0.0000, 0.3743, 0.0000) [4 per cell]  4 Ir 2.94
Dy (0.1881, 0.5000, 0.0000) [4 per cell]  4 Ir 2.93
Dy (0.2477, 0.1689, 0.0000) [8 per cell]  2 Ir 2.79
In (0.0000, 0.5000, 0.5000) [2 per cell]  4 Ir 3.12, 8 Dy 3.31
In (0.1057, 0.2624, 0.5000) [8 per cell]  1 Ir 3.05, 1 In 3.07, 4 Dy 3.20-3.25
In (0.1451, 0.0718, 0.5000) [8 per cell]  1 Ir 3.02, 1 In 3.12, 4 Dy 3.19-3.22
Ir (0.1520, 0.3990, 0.5000) [8 per cell]  6 Dy 2.79-2.94, 3 In 3.02-3.12


Among the records above, which one has the highest DFT total energy? Dy5In